A plane-wave DFT calculation with PBE-GGA was carried out for a geometry-optimized KTeAsO6 structure.

Values from the calculation:
total moment: 0.0 Bohr magnetons per cell
formation energy without anion corrections: -1296 meV per atom

```
KTeAsO6
1.0
5.096 0.000 0.000
2.548 4.413 0.000
0.000 0.000 6.129
K Te As O
1 1 1 6
Cartesian
5.096 0.000 6.129
2.548 1.471 3.064
5.096 2.942 3.064
6.025 1.719 1.977
4.502 4.358 4.152
4.166 1.719 4.152
6.619 2.748 4.152
3.572 2.749 1.977
5.690 4.358 1.977
```